Sr4InAu2 PBE relaxed; calculated total energy = -2.80 eV per atom; energy relative to the elements = -0.508 eV/atom; total magnetization = 0.000 μB/atom
1.0
2.723 1.572 9.858
-2.723 1.572 9.858
0.000 -3.144 9.858
Sr In Au
4 1 2
Direct
0.119 0.119 0.119
0.294 0.294 0.294
0.706 0.706 0.706
0.881 0.881 0.881
0.500 0.500 0.500
0.404 0.404 0.404
0.596 0.596 0.596